Record 1
Here is a geometry-optimized Sr2CoTeSe structure from Alexandria via LeMat-Bulk. Energies are from GGA-PBE.

## Properties
ΔE to the lowest computed polymorph	0	meV/atom
total energy	-4.287	eV per atom
formation energy (no corrections)	-0.8680	eV per atom

Unit cell a=5.963 b=5.963 c=4.365 alpha=90.00 beta=90.00 gamma=90.00
Last column: magnetic moment on the atom in μB.
Atoms (fractional coordinates):
Sr  0.000  0.500  0.000  -0.02
Sr  0.500  0.000  0.000  -0.02
Te  0.500  0.500  0.500  0.01
Co  0.000  0.000  0.500  1.17
Se  0.000  0.000  0.000  0.02



Record 2
Here is a geometry-optimized Sr2CoTeSe structure from Alexandria via LeMat-Bulk. Energies are from GGA-PBE.

## Properties
ΔE to the lowest computed polymorph	1030	meV/atom
total energy	-3.257	eV per atom
formation energy (no corrections)	0.1621	eV per atom

Unit cell a=6.206 b=5.493 c=6.206 alpha=90.00 beta=90.00 gamma=90.00
Last column: magnetic moment on the atom in μB.
Atoms (fractional coordinates):
Sr  0.000  0.000  0.500  -0.02
Sr  0.500  0.000  0.000  -0.02
Te  0.000  0.000  0.000  0.00
Co  0.500  0.500  0.500  2.05
Se  0.000  0.500  0.000  0.02



Record 3
Here is a geometry-optimized SrTlCo2Se structure from Alexandria via LeMat-Bulk. Energies are from GGA-PBE.

## Properties
total energy	-4.032	eV per atom
formation energy (no corrections)	0.3171	eV per atom

Unit cell a=4.526 b=5.913 c=4.526 alpha=90.00 beta=90.00 gamma=90.00
Last column: magnetic moment on the atom in μB.
Atoms (fractional coordinates):
Sr  0.500  0.500  0.500  -0.04
Tl  0.000  0.500  0.000  -0.02
Co  0.000  0.000  0.500  1.04
Co  0.500  0.000  0.000  1.49
Se  0.000  0.000  0.000  0.02



Record 4
Here is a geometry-optimized TaCoSe structure from Alexandria via LeMat-Bulk. Energies are from GGA-PBE.

## Properties
ΔE to the lowest computed polymorph	94	meV/atom
total energy	-7.817	eV per atom
formation energy (no corrections)	-0.3365	eV per atom

Unit cell a=9.237 b=4.296 c=6.181 alpha=90.00 beta=90.81 gamma=90.00
Atoms (fractional coordinates):
Co  0.553  0.000  0.710
Co  0.447  0.000  0.290
Co  0.553  0.500  0.210
Co  0.447  0.500  0.790
Se  0.812  0.000  0.664
Se  0.188  0.000  0.336
Se  0.812  0.500  0.164
Se  0.188  0.500  0.836
Ta  0.337  0.000  0.952
Ta  0.663  0.000  0.048
Ta  0.337  0.500  0.452
Ta  0.663  0.500  0.548



Record 5
Here is a geometry-optimized TaCoSe structure from Alexandria via LeMat-Bulk. Energies are from GGA-PBE.

## Properties
ΔE to the lowest computed polymorph	421	meV/atom
total energy	-7.490	eV per atom
formation energy (no corrections)	-0.0092	eV per atom

Unit cell a=5.005 b=5.003 c=3.201 alpha=71.37 beta=71.32 gamma=37.31
Atoms (fractional coordinates):
Co  0.992  0.992  0.008
Se  0.661  0.661  0.339
Ta  0.347  0.347  0.653



Record 6
Here is a geometry-optimized TaCo3Se structure from Alexandria via LeMat-Bulk. Energies are from GGA-PBE.

## Properties
ΔE to the lowest computed polymorph	648	meV/atom
total energy	-5.884	eV per atom
formation energy (no corrections)	1.4469	eV per atom

Unit cell a=4.520 b=4.520 c=4.520 alpha=90.00 beta=90.00 gamma=90.00
Last column: magnetic moment on the atom in μB.
Atoms (fractional coordinates):
Co  0.000  0.500  0.000  0.76
Co  0.000  0.000  0.500  0.79
Co  0.500  0.000  0.000  0.56
Se  0.500  0.500  0.500  0.07
Ta  0.000  0.000  0.000  -0.26



Record 7
Here is a geometry-optimized TaCoSe3 structure from Alexandria via LeMat-Bulk. Energies are from GGA-PBE.

## Properties
ΔE to the lowest computed polymorph	0	meV/atom
total energy	-6.415	eV per atom
formation energy (no corrections)	-0.5327	eV per atom

Unit cell a=3.491 b=6.036 c=12.019 alpha=104.54 beta=90.00 gamma=90.00
Last column: magnetic moment on the atom in μB.
Atoms (fractional coordinates):
Ta  0.250  0.115  0.661  -0.07
Ta  0.750  0.454  0.339  -0.07
Co  0.250  0.748  0.270  1.20
Co  0.750  0.477  0.730  1.20
Se  0.750  0.864  0.732  0.08
Se  0.750  0.570  0.153  0.04
Se  0.750  0.259  0.537  0.03
Se  0.250  0.417  0.847  0.04
Se  0.250  0.132  0.268  0.08
Se  0.250  0.723  0.463  0.03



Record 8
Here is a geometry-optimized TaCo3Se structure from Alexandria via LeMat-Bulk. Energies are from GGA-PBE.

## Properties
ΔE to the lowest computed polymorph	0	meV/atom
total energy	-6.532	eV per atom
formation energy (no corrections)	0.7992	eV per atom

Unit cell a=4.240 b=4.240 c=4.240 alpha=90.00 beta=90.00 gamma=90.00
Last column: magnetic moment on the atom in μB.
Atoms (fractional coordinates):
Co  0.000  0.500  0.000  0.72
Co  0.000  0.000  0.500  0.56
Co  0.500  0.000  0.000  0.80
Se  0.000  0.000  0.000  0.01
Ta  0.500  0.500  0.500  0.26